Entry from Alexandria: CoSi2BrN after structural relaxation (PBE).

Output
* uncorrected formation energy: 0.7510 eV/atom
* total magnetic moment: 0.0 μB per formula unit
* raw total energy: -24.2 eV per cell

abc: 4.8414 4.8414 3.4906
angles: 90.00 90.00 90.00
Space group P4/mmm (No. 123)
Inequivalent atoms, fractional coordinates:
Co 0.0000 0.0000 0.0000 x1
Si 0.0000 0.5000 0.5000 x2
Br 0.5000 0.5000 0.0000 x1
N 0.0000 0.0000 0.5000 x1